# 1
TlHg2Pt | PBE-GGA | optimized geometry Values from VASP.

Structure (Quantum ESPRESSO input):
```
&SYSTEM
  ibrav = 0, nat = 4, ntyp = 3
/
ATOMIC_SPECIES
Pt 195.08 Pt.upf
Tl 204.38 Tl.upf
Hg 200.59 Hg.upf
ATOMIC_POSITIONS angstrom
Pt -1.314 -4.108 -5.445
Tl -2.319 -2.606 -3.029
Hg -0.005 -0.015 -0.020
Hg -0.862 0.393 -3.318
CELL_PARAMETERS angstrom
-0.199 -2.176 -7.150
-2.423 -6.019 -3.714
-0.566 5.957 4.482
```

Properties
SG	No. 44
energy relative to the lowest polymorph listed for this composition	0.000	eV per formula unit
ΔH_f (0 K)	0.001	eV/atom
crystal system	orthorhombic
volume	100.3	Å³/f.u.



# 2
TlHg2Pt | PBE-GGA | optimized geometry Values from VASP.

Structure (Quantum ESPRESSO input):
```
&SYSTEM
  ibrav = 0, nat = 8, ntyp = 3
/
ATOMIC_SPECIES
Tl 204.38 Tl.upf
Hg 200.59 Hg.upf
Pt 195.08 Pt.upf
ATOMIC_POSITIONS angstrom
Tl 0.000 0.000 0.000
Hg 3.156 3.226 7.914
Hg 3.086 1.052 2.638
Tl 4.208 2.104 5.276
Hg 1.122 3.156 2.638
Pt 2.104 4.208 5.276
Pt 2.104 2.104 0.000
Hg 5.260 5.190 7.914
CELL_PARAMETERS angstrom
4.208 0.000 0.000
0.000 4.208 0.000
2.104 2.104 10.552
```

Properties
SG	No. 122
energy relative to the lowest polymorph listed for this composition	0.583	eV per formula unit
ΔH_f (0 K)	0.147	eV/atom
crystal system	tetragonal
volume	93.4	Å³/f.u.



# 3
Tl7Hg3Pt2 | PBE-GGA | optimized geometry Values from VASP.

Structure (Quantum ESPRESSO input):
```
&SYSTEM
  ibrav = 0, nat = 12, ntyp = 3
/
ATOMIC_SPECIES
Pt 195.08 Pt.upf
Tl 204.38 Tl.upf
Hg 200.59 Hg.upf
ATOMIC_POSITIONS angstrom
Pt 3.653 -0.751 4.058
Tl 0.777 -0.914 3.301
Pt 3.675 2.446 9.484
Tl 5.254 1.106 7.476
Tl 3.247 0.593 1.550
Tl 0.000 0.000 0.000
Tl 6.550 2.609 10.242
Tl 2.073 0.589 6.066
Hg 4.508 2.056 4.242
Hg 1.995 -2.674 0.519
Hg 3.225 3.740 6.883
Tl 4.486 5.202 9.574
CELL_PARAMETERS angstrom
-0.405 -4.101 2.418
4.394 -1.248 -1.381
3.338 7.043 12.505
```

Properties
SG	No. 65
ΔH_f (0 K)	-0.018	eV/atom
crystal system	orthorhombic
volume	331.5	Å³/f.u.



# 4
Tl2HgPt | PBE-GGA | optimized geometry Values from VASP.

Structure (Quantum ESPRESSO input):
```
&SYSTEM
  ibrav = 0, nat = 4, ntyp = 3
/
ATOMIC_SPECIES
Tl 204.38 Tl.upf
Hg 200.59 Hg.upf
Pt 195.08 Pt.upf
ATOMIC_POSITIONS angstrom
Tl 0.947 -1.104 -3.298
Hg 0.570 -2.979 -0.810
Tl 0.000 0.000 0.000
Pt 2.953 -0.304 -1.020
CELL_PARAMETERS angstrom
-1.436 -3.778 -3.088
3.330 1.571 -3.509
2.576 -2.179 1.469
```

Properties
SG	No. 65
energy relative to the lowest polymorph listed for this composition	0.680	eV per formula unit
ΔH_f (0 K)	0.165	eV/atom
crystal system	orthorhombic
volume	95.2	Å³/f.u.



# 5
Tl2HgPt | PBE-GGA | optimized geometry Values from VASP.

Structure (Quantum ESPRESSO input):
```
&SYSTEM
  ibrav = 0, nat = 4, ntyp = 3
/
ATOMIC_SPECIES
Pt 195.08 Pt.upf
Tl 204.38 Tl.upf
Hg 200.59 Hg.upf
ATOMIC_POSITIONS angstrom
Pt 1.805 3.100 6.487
Tl 0.000 1.690 8.412
Tl 0.000 1.375 4.853
Hg 1.805 1.033 2.162
CELL_PARAMETERS angstrom
3.610 0.000 0.000
0.000 3.135 -0.290
0.000 0.998 8.940
```

Properties
SG	No. 10
energy relative to the lowest polymorph listed for this composition	0.123	eV per formula unit
ΔH_f (0 K)	0.025	eV/atom
crystal system	monoclinic
volume	102.2	Å³/f.u.



# 6
TlHgPt3 | PBE-GGA | optimized geometry Values from VASP.

Structure (Quantum ESPRESSO input):
```
&SYSTEM
  ibrav = 0, nat = 5, ntyp = 3
/
ATOMIC_SPECIES
Tl 204.38 Tl.upf
Hg 200.59 Hg.upf
Pt 195.08 Pt.upf
ATOMIC_POSITIONS angstrom
Tl 0.000 0.000 0.000
Hg 2.532 2.532 2.532
Pt 0.000 0.000 2.532
Pt 0.000 2.532 0.000
Pt 2.532 0.000 0.000
CELL_PARAMETERS angstrom
5.063 0.000 0.000
0.000 5.063 0.000
0.000 0.000 5.063
```

Properties
SG	No. 221
energy relative to the lowest polymorph listed for this composition	0.404	eV per formula unit
ΔH_f (0 K)	1.200	eV/atom
crystal system	cubic
volume	129.8	Å³/f.u.



| no. | mass density (g/cm³) |
| --- | --- |
| 1 | 13.251 |
| 2 | 14.229 |
| 3 | 12.134 |
| 4 | 14.033 |
| 5 | 13.069 |
| 6 | 12.668 |